#one
Y3Cd | GGA-PBE | optimized geometry

a = 3.6071 Å, b = 4.7403 Å, c = 6.8324 Å
α = 90.00°, β = 90.00°, γ = 90.00°
Fractional positions:
Y1 0.5000 0.5000 0.7584
Y2 0.0000 0.0000 0.5000
Y3 0.5000 0.5000 0.2416
Cd1 0.0000 0.0000 0.0000

Calculated values
- D(E_F): 5.60 states/eV per cell
- Magnetic moment: 0.00 μB per cell
- V: 29.21 Å³/atom

=====

#two
Y3Cd | GGA-PBE | optimized geometry

a = 6.8056 Å, b = 8.5664 Å, c = 5.1993 Å
α = 90.00°, β = 90.00°, γ = 129.00°
Fractional positions:
Y1 0.9406 0.6784 0.5000
Y2 0.3860 0.1930 0.5000
Y3 0.9473 0.9737 0.0000
Y4 0.3927 0.9045 0.0000
Y5 0.3927 0.4883 0.0000
Y6 0.9406 0.2622 0.5000
Cd1 0.8142 0.4071 0.0000
Cd2 0.5191 0.7596 0.5000

Calculated values
- D(E_F): 11.32 states/eV per cell
- Magnetic moment: 0.00 μB per cell
- V: 29.44 Å³/atom

=====

Least stable = #one

=====

#one
Y3Cd | GGA-PBE | optimized geometry

a = 5.6967 Å, b = 5.6967 Å, c = 3.7326 Å
α = 90.00°, β = 90.00°, γ = 103.04°
Fractional positions:
Y1 0.5000 0.5000 0.0000
Y2 0.0000 0.5000 0.5000
Y3 0.5000 0.0000 0.5000
Cd1 0.0000 0.0000 0.0000

Calculated values
- D(E_F): 5.12 states/eV per cell
- Magnetic moment: 0.00 μB per cell
- V: 29.50 Å³/atom

=====

#two
Y3Cd | GGA-PBE | optimized geometry

a = 5.4710 Å, b = 5.4710 Å, c = 5.4710 Å
α = 60.00°, β = 60.00°, γ = 60.00°
Fractional positions:
Y1 0.7500 0.7500 0.7500
Y2 0.2500 0.2500 0.2500
Y3 0.5000 0.5000 0.5000
Cd1 0.0000 0.0000 0.0000

Calculated values
- D(E_F): 5.68 states/eV per cell
- Magnetic moment: 0.51 μB per cell
- V: 28.95 Å³/atom

=====

#three
Y3Cd | GGA-PBE | optimized geometry

a = 3.6163 Å, b = 3.6163 Å, c = 9.0601 Å
α = 90.00°, β = 90.00°, γ = 90.00°
Fractional positions:
Y1 0.0000 0.0000 0.5000
Y2 0.5000 0.5000 0.2242
Y3 0.5000 0.5000 0.7758
Cd1 0.0000 0.0000 0.0000

Calculated values
- D(E_F): 5.40 states/eV per cell
- Magnetic moment: 0.00 μB per cell
- V: 29.62 Å³/atom

=====

#four
Y3Cd | GGA-PBE | optimized geometry

a = 6.6031 Å, b = 6.6031 Å, c = 7.9606 Å
α = 98.49°, β = 98.49°, γ = 130.23°
Fractional positions:
Cd1 0.1302 0.8698 0.0000
Cd2 0.8698 0.1302 0.0000
Y1 0.1954 0.5313 0.7250
Y2 0.4687 0.8046 0.2750
Y3 0.8196 0.8196 0.6378
Y4 0.1804 0.1804 0.3622
Y5 0.8046 0.4687 0.2750
Y6 0.5313 0.1954 0.7250

Calculated values
- D(E_F): 10.40 states/eV per cell
- Magnetic moment: 0.00 μB per cell
- V: 31.02 Å³/atom

=====

Least stable = #four

=====

#one
Y3Cd | GGA-PBE | optimized geometry

a = 6.4518 Å, b = 6.4518 Å, c = 6.4518 Å
α = 117.06°, β = 117.06°, γ = 117.06°
Fractional positions:
Y1 0.0000 0.5000 0.5000
Y2 0.5000 0.5000 0.0000
Y3 0.5000 0.0000 0.5000
Cd1 0.0000 0.0000 0.0000

Calculated values
- D(E_F): 6.70 states/eV per cell
- Magnetic moment: 0.00 μB per cell
- V: 29.34 Å³/atom

=====

#two
Y3Cd | GGA-PBE | optimized geometry

a = 6.6216 Å, b = 6.6216 Å, c = 6.6216 Å
α = 146.45°, β = 131.98°, γ = 59.85°
Fractional positions:
Y1 0.6949 0.2781 0.4167
Y2 0.1386 0.7219 0.4167
Y3 0.4166 0.5000 0.9166
Cd1 0.9166 0.0000 0.9166

Calculated values
- D(E_F): 4.31 states/eV per cell
- Magnetic moment: 0.00 μB per cell
- V: 29.55 Å³/atom

=====

#three
Y3Cd | GGA-PBE | optimized geometry

a = 4.8717 Å, b = 4.8717 Å, c = 4.8717 Å
α = 90.00°, β = 90.00°, γ = 90.00°
Fractional positions:
Y1 0.5000 0.0000 0.5000
Y2 0.0000 0.5000 0.5000
Y3 0.5000 0.5000 0.0000
Cd1 0.0000 0.0000 0.0000

Calculated values
- D(E_F): 5.40 states/eV per cell
- Magnetic moment: 0.58 μB per cell
- V: 28.91 Å³/atom

=====

#four
Y3Cd | GGA-PBE | optimized geometry

a = 5.7559 Å, b = 5.7559 Å, c = 5.7559 Å
α = 90.00°, β = 90.00°, γ = 90.00°
Fractional positions:
Y1 0.0000 0.0000 0.5000
Y2 0.5000 0.0000 0.0000
Y3 0.0000 0.5000 0.0000
Cd1 0.0000 0.0000 0.0000

Calculated values
- D(E_F): 5.65 states/eV per cell
- Magnetic moment: 0.00 μB per cell
- V: 47.67 Å³/atom

=====

Least stable = #four

=====

#one
Y3Cd | GGA-PBE | optimized geometry

a = 6.0146 Å, b = 6.0146 Å, c = 6.0146 Å
α = 132.69°, β = 132.69°, γ = 69.14°
Fractional positions:
Y1 0.7500 0.2500 0.5000
Y2 0.2500 0.7500 0.5000
Y3 0.5000 0.5000 0.0000
Cd1 0.0000 0.0000 0.0000

Calculated values
- D(E_F): 5.66 states/eV per cell
- Magnetic moment: 0.42 μB per cell
- V: 28.84 Å³/atom

=====

#two
Y3Cd | GGA-PBE | optimized geometry

a = 6.1561 Å, b = 6.1561 Å, c = 6.1561 Å
α = 90.00°, β = 90.00°, γ = 90.00°
Fractional positions:
Y1 0.5000 0.0000 0.7500
Y2 0.0000 0.7500 0.5000
Y3 0.0000 0.2500 0.5000
Y4 0.2500 0.5000 0.0000
Y5 0.7500 0.5000 0.0000
Y6 0.5000 0.0000 0.2500
Cd1 0.0000 0.0000 0.0000
Cd2 0.5000 0.5000 0.5000

Calculated values
- D(E_F): 12.41 states/eV per cell
- Magnetic moment: 0.03 μB per cell
- V: 29.16 Å³/atom

=====

Least stable = #two

=====

#one
Y3Cd | GGA-PBE | optimized geometry

a = 3.6480 Å, b = 3.6480 Å, c = 10.6184 Å
α = 90.00°, β = 90.00°, γ = 120.00°
Fractional positions:
Y1 0.0000 0.0000 0.5000
Y2 0.3333 0.6667 0.2335
Y3 0.3333 0.6667 0.7665
Cd1 0.0000 0.0000 0.0000

Calculated values
- D(E_F): 4.87 states/eV per cell
- Magnetic moment: 0.00 μB per cell
- V: 30.59 Å³/atom

=====

#two
Y3Cd | GGA-PBE | optimized geometry

a = 6.8549 Å, b = 5.4539 Å, c = 6.2027 Å
α = 90.00°, β = 90.00°, γ = 90.00°
Fractional positions:
Y1 0.5000 0.0000 0.6332
Y2 0.0000 0.5000 0.3668
Y3 0.7436 0.0000 0.1579
Y4 0.7564 0.5000 0.8421
Y5 0.2436 0.5000 0.8421
Y6 0.2564 0.0000 0.1579
Cd1 0.5000 0.5000 0.3340
Cd2 0.0000 0.0000 0.6660

Calculated values
- D(E_F): 10.37 states/eV per cell
- Magnetic moment: 0.00 μB per cell
- V: 28.99 Å³/atom

=====

Least stable = #one

=====

#one
Y3Cd | GGA-PBE | optimized geometry

a = 3.6006 Å, b = 11.0065 Å, c = 3.6006 Å
α = 99.41°, β = 120.00°, γ = 90.00°
Fractional positions:
Y1 0.5000 0.5000 0.0000
Y2 0.2561 0.7684 0.5123
Y3 0.7439 0.2316 0.4877
Cd1 0.0000 0.0000 0.0000

Calculated values
- D(E_F): 4.83 states/eV per cell
- Magnetic moment: 0.00 μB per cell
- V: 30.34 Å³/atom

=====

#two
Y3Cd | GGA-PBE | optimized geometry

a = 6.9621 Å, b = 6.9621 Å, c = 5.5224 Å
α = 90.00°, β = 90.00°, γ = 120.00°
Fractional positions:
Y1 0.1715 0.8285 0.7500
Y2 0.6571 0.8285 0.7500
Y3 0.1715 0.3429 0.7500
Y4 0.8285 0.6571 0.2500
Y5 0.3429 0.1715 0.2500
Y6 0.8285 0.1715 0.2500
Cd1 0.6667 0.3333 0.7500
Cd2 0.3333 0.6667 0.2500

Calculated values
- D(E_F): 9.51 states/eV per cell
- Magnetic moment: 0.48 μB per cell
- V: 28.98 Å³/atom

=====

Least stable = #one

=====

#one
Y4Cd | GGA-PBE | optimized geometry

a = 5.6704 Å, b = 5.6704 Å, c = 5.6704 Å
α = 90.00°, β = 90.00°, γ = 90.00°
Fractional positions:
Y1 0.0000 0.0000 0.0000
Y2 0.5000 0.5000 0.0000
Y3 0.5000 0.0000 0.5000
Y4 0.0000 0.5000 0.5000
Cd1 0.5000 0.5000 0.5000

Calculated values
- D(E_F): 8.74 states/eV per cell
- Magnetic moment: 0.00 μB per cell
- V: 36.46 Å³/atom

=====

#two
Y4Cd | GGA-PBE | optimized geometry

a = 6.0052 Å, b = 6.0052 Å, c = 6.0052 Å
α = 100.03°, β = 100.03°, γ = 130.68°
Fractional positions:
Y1 0.1939 0.6106 0.8045
Y2 0.8061 0.3894 0.1955
Y3 0.3894 0.1939 0.5833
Y4 0.6106 0.8061 0.4167
Cd1 0.0000 0.0000 0.0000

Calculated values
- D(E_F): 9.75 states/eV per cell
- Magnetic moment: 0.00 μB per cell
- V: 29.85 Å³/atom

=====

#three
Y4Cd | GGA-PBE | optimized geometry

a = 9.4312 Å, b = 9.4312 Å, c = 9.4312 Å
α = 153.72°, β = 153.72°, γ = 37.50°
Fractional positions:
Y1 0.7500 0.2500 0.5000
Y2 0.2500 0.7500 0.5000
Y3 0.5897 0.5897 0.0000
Y4 0.4103 0.4103 0.0000
Cd1 0.0000 0.0000 0.0000

Calculated values
- D(E_F): 7.51 states/eV per cell
- Magnetic moment: 0.00 μB per cell
- V: 32.83 Å³/atom

=====

Least stable = #one

=====

#one
Y3Cd5 | GGA-PBE | optimized geometry

a = 6.0080 Å, b = 8.9401 Å, c = 8.6790 Å
α = 98.55°, β = 108.64°, γ = 67.33°
Fractional positions:
Cd1 0.3723 0.3130 0.8826
Cd2 0.3094 0.8801 0.3173
Cd3 0.1474 0.6799 0.8337
Cd4 0.2903 0.4552 0.5400
Cd5 0.6911 0.1203 0.6834
Cd6 0.4893 0.1633 0.3150
Cd7 0.5115 0.8368 0.6856
Cd8 0.6287 0.6868 0.1186
Cd9 0.7107 0.5449 0.4609
Cd10 0.8536 0.3198 0.1671
Y1 0.7691 0.4679 0.8212
Y2 0.9252 0.8223 0.4682
Y3 0.7974 0.9568 0.0486
Y4 0.2033 0.0429 0.9519
Y5 0.2318 0.5324 0.1798
Y6 0.0757 0.1779 0.5328

Calculated values
- D(E_F): 11.92 states/eV per cell
- Magnetic moment: 0.00 μB per cell
- V: 25.46 Å³/atom

=====

#two
Y3Cd5 | GGA-PBE | optimized geometry

a = 9.1803 Å, b = 9.1803 Å, c = 6.0044 Å
α = 90.00°, β = 90.00°, γ = 120.16°
Fractional positions:
Cd1 0.7449 0.7449 0.7500
Cd2 0.6665 0.3335 0.0000
Cd3 0.3335 0.6665 0.5000
Cd4 0.2566 0.0004 0.7500
Cd5 0.6665 0.3335 0.5000
Cd6 0.7434 0.9996 0.2500
Cd7 0.0004 0.2566 0.7500
Cd8 0.3335 0.6665 0.0000
Cd9 0.9996 0.7434 0.2500
Cd10 0.2551 0.2551 0.2500
Y1 0.0004 0.6124 0.7500
Y2 0.3882 0.3882 0.7500
Y3 0.6123 0.0004 0.7500
Y4 0.9996 0.3876 0.2500
Y5 0.6118 0.6118 0.2500
Y6 0.3877 0.9996 0.2500

Calculated values
- D(E_F): 16.08 states/eV per cell
- Magnetic moment: 0.00 μB per cell
- V: 27.35 Å³/atom

=====

Least stable = #two

=====

#one
Y5Cd4 | GGA-PBE | optimized geometry

a = 9.2832 Å, b = 9.2832 Å, c = 6.6602 Å
α = 90.00°, β = 90.00°, γ = 60.00°
Fractional positions:
Cd1 0.3696 0.0000 0.2500
Cd2 0.0000 0.6304 0.2500
Cd3 0.6304 0.3696 0.2500
Cd4 0.0000 0.0000 0.0000
Cd5 0.0000 0.3696 0.7500
Cd6 0.3696 0.6304 0.7500
Cd7 0.0000 0.0000 0.5000
Cd8 0.6304 0.0000 0.7500
Y1 0.3333 0.3333 0.0000
Y2 0.6667 0.6667 0.5000
Y3 0.0000 0.7033 0.7500
Y4 0.7033 0.0000 0.2500
Y5 0.3333 0.3333 0.5000
Y6 0.0000 0.2967 0.2500
Y7 0.6667 0.6667 0.0000
Y8 0.7033 0.2967 0.7500
Y9 0.2967 0.7033 0.2500
Y10 0.2967 0.0000 0.7500

Calculated values
- D(E_F): 24.34 states/eV per cell
- Magnetic moment: 0.00 μB per cell
- V: 27.62 Å³/atom

=====

#two
Y5Cd4 | GGA-PBE | optimized geometry

a = 7.4978 Å, b = 7.4978 Å, c = 7.4978 Å
α = 95.82°, β = 95.82°, γ = 142.88°
Fractional positions:
Cd1 0.0000 0.6606 0.6606
Cd2 0.0000 0.3394 0.3394
Cd3 0.3394 0.0000 0.3394
Cd4 0.6606 0.0000 0.6606
Y1 0.6710 0.6710 0.3421
Y2 0.0000 0.0000 0.0000
Y3 0.3290 0.3290 0.6579
Y4 0.6710 0.3290 0.0000
Y5 0.3290 0.6710 0.0000

Calculated values
- D(E_F): 9.42 states/eV per cell
- Magnetic moment: 1.02 μB per cell
- V: 26.79 Å³/atom

=====

Least stable = #two

=====

#one
YZn3Cd | GGA-PBE | optimized geometry

a = 5.8420 Å, b = 5.5294 Å, c = 5.9916 Å
α = 90.00°, β = 87.75°, γ = 90.00°
Fractional positions:
Zn1 0.8574 0.2500 0.4620
Zn2 0.1426 0.7500 0.5380
Zn3 0.1322 0.4977 0.1692
Zn4 0.8678 0.5023 0.8308
Zn5 0.8678 0.9977 0.8308
Zn6 0.1322 0.0023 0.1692
Y1 0.3299 0.2500 0.6453
Y2 0.6701 0.7500 0.3547
Cd1 0.5509 0.2500 0.1261
Cd2 0.4491 0.7500 0.8739

Calculated values
- D(E_F): 5.82 states/eV per cell
- Magnetic moment: 0.00 μB per cell
- V: 19.34 Å³/atom

=====

#two
YZn3Cd | GGA-PBE | optimized geometry

a = 5.6172 Å, b = 5.6172 Å, c = 5.6172 Å
α = 90.00°, β = 90.00°, γ = 90.00°
Fractional positions:
Zn1 0.5000 0.0000 0.0000
Zn2 0.0000 0.5000 0.0000
Zn3 0.0000 0.0000 0.5000
Y1 0.0000 0.0000 0.0000
Cd1 0.5000 0.5000 0.5000

Calculated values
- D(E_F): 5.91 states/eV per cell
- Magnetic moment: 0.00 μB per cell
- V: 35.45 Å³/atom

=====

Least stable = #two